(1)
# Tm2Cu3Si4

An optimized crystal structure of Tm2Cu3Si4 (PBE, Alexandria via LeMat-Bulk).

Its final energy is -5.210 eV/atom. The formation energy (no corrections) comes out at -4.0 eV per formula unit. The value obtained for the density of states at the Fermi level is 3.55 states/eV/f.u.

The space group is Cmce (No. 64) and the conventional cell measures 5.4249, 14.3865 and 7.2227 Å, with angles of 90.00, 90.00 and 90.00 degrees. The asymmetric unit holds Tm at (0.0000, 0.1081, 0.0960), Cu at (0.0000, 0.0000, 0.5000), Cu at (0.2500, 0.2254, 0.7500), Si at (0.0000, 0.1787, 0.4799) and Si at (0.2500, 0.0595, 0.7500).

(2)
# Pm4Tl2Ag3

An optimized crystal structure of Pm4Tl2Ag3 (PBE, Alexandria via LeMat-Bulk).

The formation energy comes out at -267 meV per atom. Its final energy is -3.855 eV/atom. The value obtained for the density of states at the Fermi level is 7.30 states/eV/f.u.

The space group is C2/m (No. 12) and the conventional cell measures 10.3492, 5.0529 and 9.3963 Å, with angles of 90.00, 104.34 and 90.00 degrees. The asymmetric unit holds Pm at (0.0626, 0.0000, 0.3465), Pm at (0.1411, 0.5000, 0.8991), Tl at (0.2307, 0.5000, 0.2646), Ag at (0.0000, 0.0000, 0.0000) and Ag at (0.1335, 0.5000, 0.5656).

(3)
# ZnAgTe3

An optimized crystal structure of ZnAgTe3 (PBE, Alexandria via LeMat-Bulk).

As for the energy above the most stable polymorph in this dataset: 120 meV/atom. Its final energy is -2.073 eV/atom. The formation energy (no corrections) comes out at 3.2 eV per formula unit. The value obtained for the density of states at the Fermi level is 7.94 states/eV/f.u.

The space group is Pm-3m (No. 221) and the conventional cell measures 5.4703, 5.4703 and 5.4703 Å, with angles of 90.00, 90.00 and 90.00 degrees. The asymmetric unit holds Zn at (0.0000, 0.0000, 0.0000), Ag at (0.5000, 0.5000, 0.5000) and Te at (0.0000, 0.5000, 0.5000).

(4)
# LiMgGaAg2

An optimized crystal structure of LiMgGaAg2 (PBE, Alexandria via LeMat-Bulk).

The formation energy comes out at -87 meV per atom. Its final energy is -2.535 eV/atom. The value obtained for the density of states at the Fermi level is 1.83 states/eV/f.u.

The space group is Cmcm (No. 63) and the conventional cell measures 4.4274, 10.1684 and 8.4054 Å, with angles of 90.00, 90.00 and 90.00 degrees. The asymmetric unit holds Li at (0.0000, 0.0367, 0.2500), Mg at (0.0000, 0.3145, 0.2500), Ga at (0.0000, 0.5000, 0.0000) and Ag at (0.0000, 0.1654, 0.5454).

(5)
# Sm2UCuRh6

An optimized crystal structure of Sm2UCuRh6 (PBE, Alexandria via LeMat-Bulk).

The formation energy comes out at -74 meV per atom. Its final energy is -6.967 eV/atom. The value obtained for the density of states at the Fermi level is 6.99 states/eV/f.u.

The space group is Fm-3m (No. 225) and the conventional cell measures 9.4371, 9.4371 and 9.4371 Å, with angles of 90.00, 90.00 and 90.00 degrees. The asymmetric unit holds Sm at (0.2500, 0.2500, 0.2500), U at (0.0000, 0.0000, 0.0000), Cu at (0.0000, 0.0000, 0.5000) and Rh at (0.0000, 0.0000, 0.2522).

(6)
# PaMn2ZnH6

An optimized crystal structure of PaMn2ZnH6 (PBE, Alexandria via LeMat-Bulk).

Its final energy is -5.023 eV/atom. The value obtained for the density of states at the Fermi level is 4.74 states/eV/f.u.

The space group is R-3m (No. 166, hexagonal axes) and the conventional cell measures 4.3091, 4.3091 and 15.0755 Å, with angles of 90.00, 90.00 and 120.00 degrees. The asymmetric unit holds Pa at (0.0000, 0.0000, 0.0000), Mn at (0.0000, 0.0000, 0.2007), Zn at (0.0000, 0.0000, 0.5000) and H at (0.0153, 0.5077, 0.9410).

(7)
# PrYGeRh

An optimized crystal structure of PrYGeRh (PBE, Alexandria via LeMat-Bulk).

As for the energy above the most stable polymorph in this dataset: 158 meV/atom. The formation energy comes out at -643 meV per atom. Its final energy is -6.446 eV/atom. The value obtained for the density of states at the Fermi level is 2.39 states/eV/f.u.

The space group is F-43m (No. 216) and the conventional cell measures 7.1665, 7.1665 and 7.1665 Å, with angles of 90.00, 90.00 and 90.00 degrees. The asymmetric unit holds Pr at (0.0000, 0.0000, 0.0000), Y at (0.0000, 0.0000, 0.5000), Ge at (0.2500, 0.2500, 0.2500) and Rh at (0.2500, 0.2500, 0.7500).

(8)
# Zn4CdS5

An optimized crystal structure of Zn4CdS5 (PBE, Alexandria via LeMat-Bulk).

As for the energy above the most stable polymorph in this dataset: 277 meV/atom. Its final energy is -3.140 eV/atom. The formation energy (no corrections) comes out at -4.8 eV per formula unit. The value obtained for the density of states at the Fermi level is 2.08 states/eV/f.u.

The space group is R-3m (No. 166, hexagonal axes) and the conventional cell measures 3.6640, 3.6640 and 45.0222 Å, with angles of 90.00, 90.00 and 120.00 degrees. The asymmetric unit holds Zn at (0.0000, 0.0000, 0.0974), Zn at (0.0000, 0.0000, 0.3009), Cd at (0.0000, 0.0000, 0.5000), S at (0.0000, 0.0000, 0.0000), S at (0.0000, 0.0000, 0.2045) and S at (0.0000, 0.0000, 0.3982).